Record 1
# PBE TaNbReTc, relaxed
# **V**: 16.34 Å³ per atom
# **M_tot**: 0.00 μB per atom
# **Density**: 14.2 g cm⁻³
# **Formation enthalpy at 0 K**: -0.385 eV/atom
data_TaNbReTc
_chemical_formula_sum 'Ta1 Nb1 Re1 Tc1'
_cell_length_a 3.197
_cell_length_b 4.522
_cell_length_c 4.522
_cell_angle_alpha 90.00
_cell_angle_beta 90.00
_cell_angle_gamma 90.00
_space_group_name_H-M_alt 'P 1'
_space_group_IT_number 1
_space_group_name_Hall 'P 1'
loop_
_atom_site_label
_atom_site_fract_x
_atom_site_fract_y
_atom_site_fract_z
Ta1 0.000 0.000 0.000
Re1 0.500 0.500 0.000
Tc1 0.500 0.000 0.500
Nb1 0.000 0.500 0.500


Record 2
# PBE LaMgIn2Au4, relaxed
# **V**: 21.92 Å³ per atom
# **M_tot**: 0.00 μB per atom
# **Density**: 11.2 g cm⁻³
# **Formation enthalpy at 0 K**: -0.553 eV/atom
data_LaMgIn2Au4
_chemical_formula_sum 'La1 Mg1 In2 Au4'
_cell_length_a 4.740
_cell_length_b 4.740
_cell_length_c 9.419
_cell_angle_alpha 75.43
_cell_angle_beta 75.43
_cell_angle_gamma 60.00
_space_group_name_H-M_alt 'P 1'
_space_group_IT_number 1
_space_group_name_Hall 'P 1'
loop_
_atom_site_label
_atom_site_fract_x
_atom_site_fract_y
_atom_site_fract_z
Au1 0.607 0.607 0.180
Au2 0.864 0.864 0.408
Au3 0.136 0.136 0.592
Au4 0.393 0.393 0.820
Mg1 0.500 0.500 0.500
In1 0.756 0.756 0.733
In2 0.244 0.244 0.267
La1 0.000 0.000 0.000


Record 3
# PBE FeReAu2, relaxed
# **V**: 15.55 Å³ per atom
# **M_tot**: 0.30 μB per atom
# **Density**: 17.0 g cm⁻³
# **Formation enthalpy at 0 K**: 0.226 eV/atom
data_FeReAu2
_chemical_formula_sum 'Fe1 Re1 Au2'
_cell_length_a 2.804
_cell_length_b 2.804
_cell_length_c 7.913
_cell_angle_alpha 90.00
_cell_angle_beta 90.00
_cell_angle_gamma 90.00
_space_group_name_H-M_alt 'P 1'
_space_group_IT_number 1
_space_group_name_Hall 'P 1'
loop_
_atom_site_label
_atom_site_fract_x
_atom_site_fract_y
_atom_site_fract_z
Au1 0.000 0.000 0.987
Au2 0.500 0.500 0.275
Fe1 0.000 0.000 0.524
Re1 0.500 0.500 0.714


Asked for E_tot across the records above, the calculation gives -0.85031, -0.27135, -0.48807 Ry per atom in order.